ErZrPb2 PBE relaxed; DOS at the Fermi energy = 0.8019 states/eV per atom; electronic total energy = -21.3 eV per cell; total magnetization = 0.00 Bohr magnetons per cell; volume = 26.8 Å³/atom
1.0
2.438 1.408 5.198
-2.438 1.408 5.198
0.000 -2.816 5.198
Er Zr Pb
1 1 2
Direct
0.000 0.000 0.000
0.500 0.500 0.500
0.246 0.246 0.246
0.754 0.754 0.754